1.
La4NiPb2 PBE-GGA optimized geometry; DOS(E_F) = 4.32 states/eV/cell; electronic total energy = -5.1545 eV/atom; offset from the most stable computed form = 0.0000 eV/atom; formation enthalpy at 0 K = -3.2 eV/f.u.; magnetic moment = 0.000 μB/cell; SG = I4/mmm (139)
1.0
5.129 0.000 0.000
0.000 5.129 0.000
-2.564 -2.564 8.901
Pb La Ni
2 4 1
direct
0.639 0.639 0.277 Pb
0.361 0.361 0.723 Pb
0.176 0.176 0.352 La
0.500 0.000 0.000 La
0.824 0.824 0.648 La
0.000 0.500 0.000 La
0.000 0.000 0.000 Ni

---

2.
LaNiPb2 PBE-GGA optimized geometry; DOS(E_F) = 3.83 states/eV/cell; electronic total energy = -4.6095 eV/atom; offset from the most stable computed form = 0.2017 eV/atom; formation enthalpy at 0 K = -0.3 eV/f.u.; magnetic moment = 0.000 μB/cell; SG = P4/mmm (123)
1.0
-1.612 2.053 -2.355
-1.628 -2.814 -1.339
-6.033 1.079 5.068
Pb Ni La
2 1 1
direct
0.000 0.000 0.947 Pb
0.000 0.000 0.553 Pb
0.500 0.500 0.750 Ni
0.500 0.500 0.250 La

---

3.
La3NiPb PBE-GGA optimized geometry; DOS(E_F) = 6.44 states/eV/cell; electronic total energy = -5.2075 eV/atom; offset from the most stable computed form = 0.0267 eV/atom; formation enthalpy at 0 K = -1.8 eV/f.u.; magnetic moment = 0.000 μB/cell; SG = Pm-3m (221)
1.0
5.439 0.000 0.000
0.000 5.439 0.000
0.000 0.000 5.439
La Ni Pb
3 1 1
direct
0.000 0.500 0.000 La
0.500 0.000 0.000 La
0.000 0.000 0.500 La
0.000 0.000 0.000 Ni
0.500 0.500 0.500 Pb

---

4.
LaNiPb2 PBE-GGA optimized geometry; DOS(E_F) = 3.73 states/eV/cell; electronic total energy = -4.5581 eV/atom; offset from the most stable computed form = 0.2531 eV/atom; formation enthalpy at 0 K = -0.1 eV/f.u.; magnetic moment = 0.000 μB/cell; SG = F-43m (216)
1.0
5.284 0.000 0.000
2.642 4.576 0.000
2.642 1.525 4.314
La Ni Pb
1 1 2
direct
0.500 0.500 0.500 La
0.750 0.750 0.750 Ni
0.000 0.000 0.000 Pb
0.250 0.250 0.250 Pb

---

5.
LaNiPb2 PBE-GGA optimized geometry; DOS(E_F) = 3.55 states/eV/cell; electronic total energy = -4.6549 eV/atom; offset from the most stable computed form = 0.1563 eV/atom; formation enthalpy at 0 K = -0.5 eV/f.u.; magnetic moment = 0.001 μB/cell; SG = P4/mmm (123)
1.0
-3.284 2.345 -2.285
-2.972 -3.494 0.685
-1.424 2.019 4.119
Pb Ni La
2 1 1
direct
0.500 0.500 0.000 Pb
0.000 0.000 0.000 Pb
0.000 0.500 0.500 Ni
0.500 0.000 0.500 La

---

6.
La3NiPb PBE-GGA optimized geometry; DOS(E_F) = 13.88 states/eV/cell; electronic total energy = -5.2342 eV/atom; offset from the most stable computed form = 0.0000 eV/atom; formation enthalpy at 0 K = -1.9 eV/f.u.; magnetic moment = 0.000 μB/cell; SG = P6_3/mmc (194)
1.0
5.970 0.000 0.000
0.000 6.556 -3.783
0.000 -0.001 7.569
La Pb Ni
6 2 2
direct
0.750 0.638 0.819 La
0.750 0.181 0.819 La
0.250 0.819 0.181 La
0.750 0.181 0.362 La
0.250 0.819 0.638 La
0.250 0.362 0.181 La
0.250 0.333 0.667 Pb
0.750 0.667 0.333 Pb
0.500 0.000 0.000 Ni
0.000 0.000 0.000 Ni

---

Repeat the third record exactly.
La3NiPb PBE-GGA optimized geometry; DOS(E_F) = 6.44 states/eV/cell; electronic total energy = -5.2075 eV/atom; offset from the most stable computed form = 0.0267 eV/atom; formation enthalpy at 0 K = -1.8 eV/f.u.; magnetic moment = 0.000 μB/cell; SG = Pm-3m (221)
1.0
5.439 0.000 0.000
0.000 5.439 0.000
0.000 0.000 5.439
La Ni Pb
3 1 1
direct
0.000 0.500 0.000 La
0.500 0.000 0.000 La
0.000 0.000 0.500 La
0.000 0.000 0.000 Ni
0.500 0.500 0.500 Pb